VASP calculation (PBE) on a relaxed structure of La2TmI.

The structure belongs to space group R-3m (No. 166, hexagonal axes); the cell edges are 3.8337, 3.8337 and 32.9224 Å and the angles 90.00°, 90.00° and 120.00°. The inequivalent atoms are La at (0.0000, 0.0000, 0.2465), Tm at (0.0000, 0.0000, 0.0000) and I at (0.0000, 0.0000, 0.5000).

For the energy above the most stable polymorph in this dataset, the calculation gives 0.021 eV/atom. The total energy comes out at -4.37 eV per atom.

---

VASP calculation (PBE) on a relaxed structure of LaTmI6.

The structure belongs to space group R-3 (No. 148, hexagonal axes); the cell edges are 7.7317, 7.7317 and 21.0533 Å and the angles 90.00°, 90.00° and 120.00°. The inequivalent atoms are La at (0.0000, 0.0000, 0.0000), Tm at (0.0000, 0.0000, 0.5000) and I at (0.9997, 0.3206, 0.5810).

The total energy comes out at -3.72 eV per atom.

---

VASP calculation (PBE) on a relaxed structure of La2TmI.

The structure belongs to space group P4/mmm (No. 123); the cell edges are 3.754, 3.754 and 9.750 Å and the angles 90.00°, 90.00° and 90.00°. The inequivalent atoms are La at (0.000, 0.000, 0.242), Tm at (0.500, 0.500, 0.500) and I at (0.500, 0.500, 0.000).

For the energy above the most stable polymorph in this dataset, the calculation gives 0.040 eV/atom. The total energy comes out at -4.35 eV per atom.

---

VASP calculation (PBE) on a relaxed structure of LaTmI.

The structure belongs to space group P3m1 (No. 156); the cell edges are 5.4268, 5.4268 and 3.8422 Å and the angles 90.00°, 90.00° and 120.00°. The inequivalent atoms are La at (0.0000, 0.0000, 0.0000), Tm at (0.3333, 0.6667, 0.4915) and I at (0.6667, 0.3333, 0.4533).

For the energy above the most stable polymorph in this dataset, the calculation gives 0.265 eV/atom. The total energy comes out at -3.88 eV per atom.

---

VASP calculation (PBE) on a relaxed structure of La2TmI.

The structure belongs to space group R3m (No. 160, hexagonal axes); the cell edges are 3.8587, 3.8587 and 32.5628 Å and the angles 90.00°, 90.00° and 120.00°. The inequivalent atoms are La at (0.0000, 0.0000, 0.0000), La at (0.0000, 0.0000, 0.1729), Tm at (0.0000, 0.0000, 0.7532) and I at (0.0000, 0.0000, 0.5867).

For the energy above the most stable polymorph in this dataset, the calculation gives 0.000 eV/atom. The total energy comes out at -4.39 eV per atom.

---

VASP calculation (PBE) on a relaxed structure of LaV2I.

The structure belongs to space group Fm-3m (No. 225); the cell edges are 6.896, 6.896 and 6.896 Å and the angles 90.00°, 90.00° and 90.00°. The inequivalent atoms are La at (0.000, 0.000, 0.000), V at (0.250, 0.250, 0.250) and I at (0.000, 0.000, 0.500).

For the energy above the most stable polymorph in this dataset, the calculation gives 0.000 eV/atom. The total energy comes out at -5.43 eV per atom.

---

VASP calculation (PBE) on a relaxed structure of La2VI.

The structure belongs to space group Fm-3m (No. 225); the cell edges are 7.820, 7.820 and 7.820 Å and the angles 90.00°, 90.00° and 90.00°. The inequivalent atoms are La at (0.250, 0.250, 0.250), V at (0.000, 0.000, 0.000) and I at (0.000, 0.000, 0.500).

For the energy above the most stable polymorph in this dataset, the calculation gives 0.000 eV/atom. The total energy comes out at -5.05 eV per atom.

---

VASP calculation (PBE) on a relaxed structure of LaVI2.

The structure belongs to space group Fm-3m (No. 225); the cell edges are 7.770, 7.770 and 7.770 Å and the angles 90.00°, 90.00° and 90.00°. The inequivalent atoms are La at (0.000, 0.000, 0.000), V at (0.000, 0.000, 0.500) and I at (0.250, 0.250, 0.250).

The total energy comes out at -4.40 eV per atom.

---

VASP calculation (PBE) on a relaxed structure of LaV2I.

The structure belongs to space group I-42d (No. 122); the cell edges are 5.938, 5.938 and 11.216 Å and the angles 90.00°, 90.00° and 90.00°. The inequivalent atoms are La at (0.000, 0.000, 0.000), V at (0.209, 0.250, 0.125) and I at (0.000, 0.000, 0.500).

For the energy above the most stable polymorph in this dataset, the calculation gives 0.687 eV/atom. The total energy comes out at -4.74 eV per atom.

---

VASP calculation (PBE) on a relaxed structure of La2VI.

The structure belongs to space group I-42d (No. 122); the cell edges are 7.415, 7.415 and 9.334 Å and the angles 90.00°, 90.00° and 90.00°. The inequivalent atoms are La at (0.141, 0.250, 0.125), V at (0.000, 0.000, 0.000) and I at (0.000, 0.000, 0.500).

For the energy above the most stable polymorph in this dataset, the calculation gives 0.206 eV/atom. The total energy comes out at -4.85 eV per atom.

---

VASP calculation (PBE) on a relaxed structure of LaVI.

The structure belongs to space group P-1 (No. 2); the cell edges are 4.361, 4.364 and 7.894 Å and the angles 92.40°, 92.65° and 90.25°. The inequivalent atoms are La at (0.243, 0.243, 0.337), V at (0.185, 0.813, 0.000) and I at (0.275, 0.274, 0.779).

The total energy comes out at -5.19 eV per atom.

---

VASP calculation (PBE) on a relaxed structure of LaWI3.

The structure belongs to space group Pm-3m (No. 221); the cell edges are 6.240, 6.240 and 6.240 Å and the angles 90.00°, 90.00° and 90.00°. The inequivalent atoms are La at (0.000, 0.000, 0.000), W at (0.500, 0.500, 0.500) and I at (0.000, 0.000, 0.500).

For the energy above the most stable polymorph in this dataset, the calculation gives 0.004 eV/atom. The total energy comes out at -4.06 eV per atom.

---

no.,ΔE_f (raw) (meV/atom)
1,-397
2,-1381
3,-379
4,-230
5,-419
6,750
7,79
8,-116
9,1437
10,285
11,10
12,451